# 1
Here is crystalline TcIr2 at its relaxed geometry from Alexandria via LeMat-Bulk. Energies are from PBEsol.

```
TcIr2
1.0
-0.2230 -2.5615 -0.8925
2.7260 2.4521 -3.5690
4.4523 -1.8657 4.2422
Tc Ir
2 4
Direct
0.6944 0.3887 0.6378
0.3056 0.6113 0.3622
0.0294 0.0588 0.3107
0.6411 0.2823 0.0320
0.9706 0.9412 0.6893
0.3589 0.7177 0.9680
```

***

# 2
Here is crystalline TcIr5 at its relaxed geometry from Alexandria via LeMat-Bulk. Energies are from PBEsol.

```
TcIr5
1.0
-1.1135 2.1648 1.2296
-2.9128 -2.5998 1.9395
4.9648 -1.9299 4.8695
Ir Tc
5 1
Direct
0.0001 0.0000 0.0004
0.3339 0.0000 0.6678
0.6663 0.0000 0.3327
0.4469 0.5000 0.8939
0.7754 0.5000 0.5505
0.1106 0.5000 0.2215
```

***

# 3
Here is crystalline TcIr2 at its relaxed geometry from Alexandria via LeMat-Bulk. Energies are from PBEsol.

```
TcIr2
1.0
2.7208 0.0000 0.0000
-1.3604 4.9435 0.0055
0.0000 -1.5452 6.2255
Ir Tc
4 2
Direct
0.3313 0.6626 0.6681
0.6657 0.3314 0.3353
0.0027 0.0055 0.9968
0.3894 0.7788 0.2765
0.0551 0.1102 0.6130
0.7224 0.4448 0.9436
```

***

# 4
Here is crystalline Tc3Ir at its relaxed geometry from Alexandria via LeMat-Bulk. Energies are from PBEsol.

```
Tc3Ir
1.0
5.4419 0.0000 0.0000
-2.7210 4.7129 0.0000
0.0000 0.0000 8.6832
Tc Ir
12 4
Direct
0.0000 0.5000 0.0000
0.5000 0.0000 0.0000
0.3387 0.1693 0.2500
0.1693 0.3387 0.7500
0.5000 0.5000 0.5000
0.8307 0.6613 0.2500
0.6613 0.8307 0.7500
0.5000 0.0000 0.5000
0.0000 0.5000 0.5000
0.8307 0.1693 0.2500
0.1693 0.8307 0.7500
0.5000 0.5000 0.0000
0.0000 0.0000 0.5000
0.0000 0.0000 0.0000
0.6667 0.3333 0.7500
0.3333 0.6667 0.2500
```

***

# 5
Here is crystalline Tc3Ir at its relaxed geometry from Alexandria via LeMat-Bulk. Energies are from PBEsol.

```
Tc3Ir
1.0
-0.2988 0.8309 -2.5558
0.6930 -2.4607 -0.8810
-7.3468 -2.1287 0.1668
Tc Ir
3 1
Direct
0.5000 0.5000 0.7474
0.5000 0.5000 0.2526
0.0000 0.0000 0.5000
0.0000 0.0000 0.0000
```

***

# 6
Here is crystalline TcIr5 at its relaxed geometry from Alexandria via LeMat-Bulk. Energies are from PBEsol.

```
TcIr5
1.0
-2.5330 -0.1672 0.9896
3.0404 -1.8669 3.7163
0.0000 6.3340 1.0700
Ir Tc
5 1
Direct
0.3322 0.6643 0.6692
0.0011 0.0022 0.9986
0.6670 0.3340 0.3325
0.0585 0.1170 0.6161
0.3858 0.7716 0.2715
0.7221 0.4442 0.9454
```

***

# 7
Here is crystalline TcIr at its relaxed geometry from Alexandria via LeMat-Bulk. Energies are from PBEsol.

```
TcIr
1.0
-2.6667 0.3996 -0.3767
0.2013 -2.1663 -3.7229
-0.9305 -4.0402 2.3007
Tc Ir
2 2
Direct
0.0000 0.5000 0.9143
0.5000 0.0000 0.0857
0.5000 0.5000 0.4171
0.0000 0.0000 0.5829
```

***

# 8
Here is crystalline TcIr2 at its relaxed geometry from Alexandria via LeMat-Bulk. Energies are from PBEsol.

```
TcIr2
1.0
-1.9547 -0.5218 1.7777
-2.5035 -0.3993 -2.8700
3.0986 -3.5023 0.3390
Ir Tc
2 1
Direct
0.8353 0.8353 0.6705
0.1647 0.1647 0.3295
0.5000 0.5000 0.0000
```

***

Formation enthalpy at 0 K for the records above, in order: -17.84; -8.44; -16.78; -16.91; -5.37; -7.82; -21.49; -16.60 kJ per mole of atoms
Excess energy over the best structure of this formula in the dataset for the records above, in order: 56.3; 28.8; 67.3; 18.1; 137.7; 35.3; 89.0; 69.2 meV per atom
Total energy for the records above, in order: -10.489; -10.151; -10.478; -11.081; -10.961; -10.145; -10.768; -10.476 eV per atom